<i>
# MgTa3Br

A geometry-optimized MgTa3Br structure (PBE, Alexandria via LeMat-Bulk).

a b c (Å): 4.850 4.850 4.850
angles (deg): 90.00 90.00 90.00
Positions (direct):
Mg1 0.000 0.000 0.000
Br1 0.500 0.500 0.500
Ta1 0.000 0.500 0.000
Ta2 0.000 0.000 0.500
Ta3 0.500 0.000 0.000

N(E_F) = 5.95 states/eV per cell
SG = Pm-3m, No. 221

***

<ii>
# MgTa3Br

A geometry-optimized MgTa3Br structure (PBE, Alexandria via LeMat-Bulk).

a b c (Å): 4.758 4.758 4.758
angles (deg): 90.00 90.00 90.00
Positions (direct):
Mg1 0.500 0.500 0.500
Br1 0.000 0.000 0.000
Ta1 0.000 0.500 0.000
Ta2 0.000 0.000 0.500
Ta3 0.500 0.000 0.000

N(E_F) = 7.89 states/eV per cell
SG = Pm-3m, No. 221

***

Result of the stability comparison: <i> is the least stable of them.

***

<i>
# MgTaBr2

A geometry-optimized MgTaBr2 structure (PBE, Alexandria via LeMat-Bulk).

a b c (Å): 4.786 4.786 4.786
angles (deg): 60.00 60.00 60.00
Positions (direct):
Mg1 0.000 0.000 0.000
Br1 0.250 0.250 0.250
Br2 0.750 0.750 0.750
Ta1 0.500 0.500 0.500

N(E_F) = 2.37 states/eV per cell
SG = Fm-3m, No. 225

***

<ii>
# MgTaBr2

A geometry-optimized MgTaBr2 structure (PBE, Alexandria via LeMat-Bulk).

a b c (Å): 7.911 7.911 5.197
angles (deg): 70.81 70.81 23.28
Positions (direct):
Br1 0.106 0.106 0.893
Br2 0.394 0.394 0.607
Mg1 0.250 0.250 0.250
Ta1 0.750 0.750 0.750

N(E_F) = 2.16 states/eV per cell
SG = C2/m, No. 12

***

<iii>
# MgTaBr2

A geometry-optimized MgTaBr2 structure (PBE, Alexandria via LeMat-Bulk).

a b c (Å): 10.608 10.608 10.608
angles (deg): 17.79 17.79 17.79
Positions (direct):
Mg1 0.000 0.000 0.000
Br1 0.895 0.895 0.895
Br2 0.105 0.105 0.105
Ta1 0.500 0.500 0.500

N(E_F) = 1.06 states/eV per cell
SG = R-3m, No. 166

***

<iv>
# MgTaBr2

A geometry-optimized MgTaBr2 structure (PBE, Alexandria via LeMat-Bulk).

a b c (Å): 6.680 6.680 6.680
angles (deg): 146.31 146.31 48.39
Each line ends with the local moment (μB).
Positions (direct):
Br1 0.000 0.000 0.000  0.03
Br2 0.250 0.750 0.500  0.02
Mg1 0.500 0.500 0.000  -0.02
Ta1 0.750 0.250 0.500  1.04

N(E_F) = 3.67 states/eV per cell
SG = I-4m2, No. 119

***

Result of the stability comparison: <iv> is the least stable of them.

***

<i>
# MgTaBr2

A geometry-optimized MgTaBr2 structure (PBE, Alexandria via LeMat-Bulk).

a b c (Å): 5.143 3.305 5.359
angles (deg): 72.01 90.00 90.00
Positions (direct):
Br1 0.000 0.825 0.975
Br2 0.500 0.213 0.198
Mg1 0.000 0.542 0.542
Ta1 0.500 0.920 0.785

N(E_F) = 2.44 states/eV per cell
SG = Amm2, No. 38

***

<ii>
# MgTaBr2

A geometry-optimized MgTaBr2 structure (PBE, Alexandria via LeMat-Bulk).

a b c (Å): 9.076 9.076 7.060
angles (deg): 50.00 50.00 90.00
Each line ends with the local moment (μB).
Positions (direct):
Mg1 0.500 0.500 0.000  -0.01
Mg2 0.250 0.750 0.500  -0.01
Br1 0.755 0.125 0.250  0.00
Br2 0.995 0.625 0.250  0.00
Br3 0.375 0.245 0.750  0.01
Br4 0.875 0.005 0.750  0.00
Ta1 0.000 0.000 0.000  1.28
Ta2 0.750 0.250 0.500  1.29

N(E_F) = 5.79 states/eV per cell
SG = I-42d, No. 122

***

Result of the stability comparison: <ii> is the least stable of them.

***

<i>
# MgTaBr

A geometry-optimized MgTaBr structure (PBE, Alexandria via LeMat-Bulk).

a b c (Å): 3.235 3.235 7.787
angles (deg): 90.00 90.00 120.00
Positions (direct):
Br1 0.000 0.000 0.924
Mg1 0.667 0.333 0.392
Ta1 0.333 0.667 0.685

N(E_F) = 0.83 states/eV per cell
SG = P3m1, No. 156

***

<ii>
# MgTaBr

A geometry-optimized MgTaBr structure (PBE, Alexandria via LeMat-Bulk).

a b c (Å): 4.731 4.731 3.091
angles (deg): 90.00 90.00 120.00
Positions (direct):
Br1 0.000 0.000 0.833
Mg1 0.667 0.333 0.333
Ta1 0.333 0.667 0.833

N(E_F) = 2.12 states/eV per cell
SG = P-6m2, No. 187

***

Result of the stability comparison: <ii> is the least stable of them.

***

<i>
# MgTaBr

A geometry-optimized MgTaBr structure (PBE, Alexandria via LeMat-Bulk).

a b c (Å): 7.264 7.264 7.264
angles (deg): 155.18 155.18 35.39
Positions (direct):
Br1 0.034 0.034 0.000
Mg1 0.304 0.304 0.000
Ta1 0.662 0.662 0.000

N(E_F) = 1.07 states/eV per cell
SG = I4mm, No. 107

***

<ii>
# MgTaBr

A geometry-optimized MgTaBr structure (PBE, Alexandria via LeMat-Bulk).

a b c (Å): 4.861 4.861 4.861
angles (deg): 60.00 60.00 60.00
Each line ends with the local moment (μB).
Positions (direct):
Br1 0.000 0.000 0.000  0.03
Mg1 0.500 0.500 0.500  0.04
Ta1 0.750 0.750 0.750  1.99

N(E_F) = 4.42 states/eV per cell
SG = F-43m, No. 216

***

<iii>
# MgTaBr

A geometry-optimized MgTaBr structure (PBE, Alexandria via LeMat-Bulk).

a b c (Å): 4.465 4.465 4.465
angles (deg): 60.00 60.00 60.00
Positions (direct):
Br1 0.750 0.750 0.750
Mg1 0.000 0.000 0.000
Ta1 0.500 0.500 0.500

N(E_F) = 2.70 states/eV per cell
SG = F-43m, No. 216

***

<iv>
# MgTaBr

A geometry-optimized MgTaBr structure (PBE, Alexandria via LeMat-Bulk).

a b c (Å): 7.299 6.656 3.132
angles (deg): 88.84 88.78 25.40
Positions (direct):
Br1 0.841 0.102 0.159
Mg1 0.823 0.557 0.177
Ta1 0.335 0.341 0.665

N(E_F) = 2.03 states/eV per cell
SG = Cm, No. 8

***

Result of the stability comparison: <ii> is the least stable of them.

***

<i>
# Mg3TaBr

A geometry-optimized Mg3TaBr structure (PBE, Alexandria via LeMat-Bulk).

a b c (Å): 5.620 5.620 5.620
angles (deg): 90.00 90.00 90.00
Each line ends with the local moment (μB).
Positions (direct):
Mg1 0.000 0.500 0.000  0.01
Mg2 0.000 0.000 0.500  0.00
Mg3 0.500 0.000 0.000  0.05
Br1 0.500 0.500 0.500  0.07
Ta1 0.000 0.000 0.000  2.04

N(E_F) = 4.88 states/eV per cell
SG = Pm-3m, No. 221

***

<ii>
# Mg3TaBr

A geometry-optimized Mg3TaBr structure (PBE, Alexandria via LeMat-Bulk).

a b c (Å): 5.006 5.006 5.006
angles (deg): 90.00 90.00 90.00
Each line ends with the local moment (μB).
Positions (direct):
Mg1 0.000 0.500 0.000  0.00
Mg2 0.000 0.000 0.500  -0.01
Mg3 0.500 0.000 0.000  0.01
Br1 0.000 0.000 0.000  0.03
Ta1 0.500 0.500 0.500  1.27

N(E_F) = 5.09 states/eV per cell
SG = Pm-3m, No. 221

***

Result of the stability comparison: <i> is the least stable of them.

***

<i>
# MgTaBr3

A geometry-optimized MgTaBr3 structure (PBE, Alexandria via LeMat-Bulk).

a b c (Å): 5.205 5.205 5.205
angles (deg): 90.00 90.00 90.00
Positions (direct):
Mg1 0.500 0.500 0.500
Br1 0.000 0.500 0.000
Br2 0.000 0.000 0.500
Br3 0.500 0.000 0.000
Ta1 0.000 0.000 0.000

N(E_F) = 3.96 states/eV per cell
SG = Pm-3m, No. 221

***

<ii>
# MgTaBr3

A geometry-optimized MgTaBr3 structure (PBE, Alexandria via LeMat-Bulk).

a b c (Å): 5.192 5.192 5.192
angles (deg): 90.00 90.00 90.00
Each line ends with the local moment (μB).
Positions (direct):
Mg1 0.000 0.000 0.000  0.00
Br1 0.000 0.500 0.000  0.02
Br2 0.000 0.000 0.500  0.02
Br3 0.500 0.000 0.000  0.01
Ta1 0.500 0.500 0.500  2.45

N(E_F) = 5.77 states/eV per cell
SG = Pm-3m, No. 221

***

Result of the stability comparison: <ii> is the least stable of them.

***

<i>
# MgTc2Br

A geometry-optimized MgTc2Br structure (PBE, Alexandria via LeMat-Bulk).

a b c (Å): 3.091 3.117 7.730
angles (deg): 78.78 90.00 90.00
Positions (direct):
Br1 0.000 0.318 0.498
Mg1 0.500 0.669 0.778
Tc1 0.000 0.049 0.024
Tc2 0.500 0.464 0.200

N(E_F) = 3.00 states/eV per cell
SG = Pm, No. 6

***

<ii>
# MgTc2Br

A geometry-optimized MgTc2Br structure (PBE, Alexandria via LeMat-Bulk).

a b c (Å): 5.565 5.565 5.565
angles (deg): 148.38 130.29 60.11
Positions (direct):
Br1 0.528 0.528 0.000
Mg1 0.252 0.752 0.500
Tc1 0.967 0.967 0.000
Tc2 0.752 0.252 0.500

N(E_F) = 3.51 states/eV per cell
SG = Imm2, No. 44

***

Result of the stability comparison: <ii> is the least stable of them.

***

<i>
# MgTc2Br

A geometry-optimized MgTc2Br structure (PBE, Alexandria via LeMat-Bulk).

a b c (Å): 4.538 4.538 3.081
angles (deg): 90.00 90.00 90.00
Positions (direct):
Br1 0.500 0.000 0.500
Mg1 0.000 0.500 0.500
Tc1 0.000 0.000 0.000
Tc2 0.500 0.500 0.000

N(E_F) = 5.28 states/eV per cell
SG = P4/mmm, No. 123

***

<ii>
# MgTc2Br

A geometry-optimized MgTc2Br structure (PBE, Alexandria via LeMat-Bulk).

a b c (Å): 4.176 5.839 3.218
angles (deg): 74.28 89.26 110.73
Positions (direct):
Br1 0.000 0.500 0.500
Mg1 0.500 0.500 0.000
Tc1 0.000 0.000 0.000
Tc2 0.500 0.000 0.500

N(E_F) = 3.18 states/eV per cell
SG = C2/m, No. 12

***

Result of the stability comparison: <i> is the least stable of them.

***

<i>
# MgTc2Br

A geometry-optimized MgTc2Br structure (PBE, Alexandria via LeMat-Bulk).

a b c (Å): 3.113 4.106 6.128
angles (deg): 90.00 90.00 90.00
Positions (direct):
Br1 0.500 0.500 0.250
Mg1 0.500 0.500 0.750
Tc1 0.000 0.000 0.928
Tc2 0.000 0.000 0.572

N(E_F) = 4.08 states/eV per cell
SG = Pmmm, No. 47

***

<ii>
# MgTc2Br

A geometry-optimized MgTc2Br structure (PBE, Alexandria via LeMat-Bulk).

a b c (Å): 3.077 3.077 7.568
angles (deg): 90.00 90.00 90.00
Positions (direct):
Br1 0.000 0.000 0.493
Mg1 0.500 0.500 0.776
Tc1 0.000 0.000 0.025
Tc2 0.500 0.500 0.206

N(E_F) = 1.21 states/eV per cell
SG = P4mm, No. 99

***

<iii>
# MgTc2Br

A geometry-optimized MgTc2Br structure (PBE, Alexandria via LeMat-Bulk).

a b c (Å): 4.465 4.465 4.465
angles (deg): 60.00 60.00 60.00
Positions (direct):
Mg1 0.000 0.000 0.000
Tc1 0.250 0.250 0.250
Tc2 0.750 0.750 0.750
Br1 0.500 0.500 0.500

N(E_F) = 4.78 states/eV per cell
SG = Fm-3m, No. 225

***

Result of the stability comparison: <iii> is the least stable of them.

***

<i>
# MgTc2Br

A geometry-optimized MgTc2Br structure (PBE, Alexandria via LeMat-Bulk).

a b c (Å): 6.032 3.593 3.593
angles (deg): 90.00 90.00 90.00
Each line ends with the local moment (μB).
Positions (direct):
Br1 0.500 0.500 0.000  0.03
Mg1 0.500 0.000 0.500  0.00
Tc1 0.000 0.000 0.000  0.30
Tc2 0.000 0.500 0.500  0.30

N(E_F) = 5.33 states/eV per cell
SG = P4/mmm, No. 123

***

<ii>
# MgTc2Br

A geometry-optimized MgTc2Br structure (PBE, Alexandria via LeMat-Bulk).

a b c (Å): 2.874 2.874 9.236
angles (deg): 90.00 90.00 116.99
Positions (direct):
Br1 0.500 0.500 0.250
Mg1 0.500 0.500 0.750
Tc1 0.000 0.000 0.002
Tc2 0.000 0.000 0.498

N(E_F) = 4.81 states/eV per cell
SG = Cmmm, No. 65

***

<iii>
# MgTc2Br

A geometry-optimized MgTc2Br structure (PBE, Alexandria via LeMat-Bulk).

a b c (Å): 5.505 5.505 4.633
angles (deg): 97.17 97.17 36.17
Positions (direct):
Br1 0.750 0.750 0.750
Mg1 0.250 0.250 0.250
Tc1 0.972 0.972 0.084
Tc2 0.528 0.528 0.416

N(E_F) = 2.69 states/eV per cell
SG = C2/m, No. 12

***

<iv>
# MgTc2Br

A geometry-optimized MgTc2Br structure (PBE, Alexandria via LeMat-Bulk).

a b c (Å): 4.119 4.119 7.772
angles (deg): 67.45 67.45 45.11
Positions (direct):
Br1 0.460 0.460 0.507
Mg1 0.213 0.213 0.206
Tc1 0.027 0.027 0.959
Tc2 0.799 0.799 0.828

N(E_F) = 2.86 states/eV per cell
SG = Cm, No. 8

***

Result of the stability comparison: <ii> is the least stable of them.

***

<i>
# MgTc2Br

A geometry-optimized MgTc2Br structure (PBE, Alexandria via LeMat-Bulk).

a b c (Å): 5.104 3.231 4.472
angles (deg): 94.83 90.00 90.00
Positions (direct):
Br1 0.500 0.250 0.250
Mg1 0.500 0.750 0.750
Tc1 0.000 0.059 0.959
Tc2 0.000 0.441 0.541

N(E_F) = 3.02 states/eV per cell
SG = P2/m, No. 10

***

<ii>
# MgTc2Br

A geometry-optimized MgTc2Br structure (PBE, Alexandria via LeMat-Bulk).

a b c (Å): 8.988 8.988 8.988
angles (deg): 19.05 19.05 19.05
Each line ends with the local moment (μB).
Positions (direct):
Br1 0.250 0.250 0.250  0.02
Mg1 0.750 0.750 0.750  0.00
Tc1 0.996 0.996 0.996  0.93
Tc2 0.504 0.504 0.504  0.93

N(E_F) = 4.14 states/eV per cell
SG = R-3m, No. 166

***

Result of the stability comparison: <ii> is the least stable of them.